Density functional theory data (GGA-PBE) for a relaxed RbLiS2N crystal.

Lattice parameters (Å, degrees): 4.609 4.609 5.206 90.00 90.00 90.00
Element x y z (fractional)
Rb 0.000 0.000 0.000
Li 0.500 0.500 0.500
S 0.000 0.500 0.500
S 0.500 0.000 0.500
N 0.500 0.500 0.000

Calculated values
E_form (uncorrected) = 537 meV/atom
Calculated volume = 110.6 Å³/cell
Energy relative to the lowest polymorph listed for this composition = 0.0000 eV/atom